{"formula": "BC9", "functional": "GGA-PBE", "state": "optimized geometry", "total_energy_ev_per_atom": -8.760, "sg": "Cm (8)", "e_form_mev_per_atom": 209.6, "lattice": [[4.246, -1.264, 0.000], [4.246, 1.264, 0.000], [-3.068, 0.000, 5.488]], "species": ["B", "C", "C", "C", "C", "C", "C", "C", "C", "C"], "fractional_positions": [[0.000, 0.000, 0.000], [0.002, 0.002, 0.747], [0.203, 0.203, 0.807], [0.208, 0.208, 0.561], [0.405, 0.405, 0.603], [0.408, 0.408, 0.356], [0.608, 0.608, 0.412], [0.616, 0.616, 0.175], [0.797, 0.797, 0.955], [0.806, 0.806, 0.208]]}



{"formula": "BC", "functional": "GGA-PBE", "state": "optimized geometry", "total_energy_ev_per_atom": -7.580, "sg": "Cm (8)", "e_form_mev_per_atom": 370.3, "lattice": [[6.779, -1.225, 0.000], [6.779, 1.225, 0.000], [-1.059, 0.000, 4.838]], "species": ["B", "B", "B", "B", "B", "B", "C", "C", "C", "C", "C", "C"], "fractional_positions": [[0.000, 0.000, 0.000], [0.151, 0.151, 0.131], [0.294, 0.294, 0.960], [0.518, 0.518, 0.523], [0.693, 0.693, 0.394], [0.856, 0.856, 0.219], [0.167, 0.167, 0.826], [0.348, 0.348, 0.678], [0.463, 0.463, 0.783], [0.641, 0.641, 0.656], [0.813, 0.813, 0.507], [0.979, 0.979, 0.300]]}



{"formula": "BC", "functional": "GGA-PBE", "state": "optimized geometry", "total_energy_ev_per_atom": -7.641, "sg": "Cm (8)", "e_form_mev_per_atom": 309.2, "lattice": [[4.480, -1.315, 0.000], [4.480, 1.315, 0.000], [-3.292, 0.000, 5.935]], "species": ["B", "B", "B", "B", "B", "C", "C", "C", "C", "C"], "fractional_positions": [[0.000, 0.000, 0.000], [0.011, 0.011, 0.623], [0.225, 0.225, 0.513], [0.583, 0.583, 0.306], [0.795, 0.795, 0.132], [0.214, 0.214, 0.751], [0.398, 0.398, 0.290], [0.406, 0.406, 0.521], [0.597, 0.597, 0.080], [0.795, 0.795, 0.876]]}



{"formula": "BC", "functional": "GGA-PBE", "state": "optimized geometry", "total_energy_ev_per_atom": -7.574, "sg": "P3m1 (156)", "e_form_mev_per_atom": 376.8, "lattice": [[2.627, 0.000, 0.000], [-1.314, 2.275, 0.000], [0.000, 0.000, 14.907]], "species": ["B", "B", "B", "B", "B", "B", "C", "C", "C", "C", "C", "C"], "fractional_positions": [[0.000, 0.000, 0.000], [0.000, 0.000, 0.117], [0.000, 0.000, 0.548], [0.333, 0.667, 0.365], [0.667, 0.333, 0.479], [0.667, 0.333, 0.933], [0.000, 0.000, 0.654], [0.333, 0.667, 0.120], [0.333, 0.667, 0.688], [0.333, 0.667, 0.792], [0.667, 0.333, 0.374], [0.667, 0.333, 0.827]]}



{"formula": "B7C5", "functional": "GGA-PBE", "state": "optimized geometry", "total_energy_ev_per_atom": -7.415, "sg": "P3m1 (156)", "e_form_mev_per_atom": 323.0, "lattice": [[2.704, 0.000, 0.000], [-1.352, 2.342, 0.000], [0.000, 0.000, 16.444]], "species": ["B", "B", "B", "B", "B", "B", "B", "C", "C", "C", "C", "C"], "fractional_positions": [[0.000, 0.000, 0.000], [0.000, 0.000, 0.106], [0.333, 0.667, 0.345], [0.333, 0.667, 0.600], [0.333, 0.667, 0.838], [0.667, 0.333, 0.454], [0.667, 0.333, 0.940], [0.000, 0.000, 0.495], [0.000, 0.000, 0.589], [0.333, 0.667, 0.108], [0.667, 0.333, 0.354], [0.667, 0.333, 0.844]]}



{"formula": "B7C5", "functional": "GGA-PBE", "state": "optimized geometry", "total_energy_ev_per_atom": -7.239, "sg": "P3m1 (156)", "e_form_mev_per_atom": 499.5, "lattice": [[2.634, 0.000, 0.000], [-1.317, 2.281, 0.000], [0.000, 0.000, 13.861]], "species": ["B", "B", "B", "B", "B", "B", "B", "C", "C", "C", "C", "C"], "fractional_positions": [[0.000, 0.000, 0.000], [0.000, 0.000, 0.122], [0.000, 0.000, 0.533], [0.000, 0.000, 0.664], [0.333, 0.667, 0.200], [0.333, 0.667, 0.802], [0.667, 0.333, 0.467], [0.333, 0.667, 0.314], [0.333, 0.667, 0.674], [0.667, 0.333, 0.352], [0.667, 0.333, 0.844], [0.667, 0.333, 0.947]]}



{"formula": "BC9", "functional": "GGA-PBE", "state": "optimized geometry", "total_energy_ev_per_atom": -8.734, "sg": "I-4 (82)", "e_form_mev_per_atom": 235.0, "lattice": [[-2.846, 2.846, 1.818], [2.846, -2.846, 1.818], [2.846, 2.846, -1.818]], "species": ["B", "C", "C", "C", "C", "C", "C", "C", "C", "C"], "fractional_positions": [[0.000, 0.000, 0.000], [0.055, 0.362, 0.898], [0.198, 0.399, 0.598], [0.250, 0.750, 0.500], [0.400, 0.802, 0.201], [0.464, 0.157, 0.102], [0.601, 0.200, 0.799], [0.638, 0.536, 0.693], [0.800, 0.600, 0.402], [0.843, 0.945, 0.307]]}



{"formula": "BC", "functional": "GGA-PBE", "state": "optimized geometry", "total_energy_ev_per_atom": -7.540, "sg": "Cm (8)", "e_form_mev_per_atom": 410.7, "lattice": [[6.976, -1.298, 0.000], [6.976, 1.298, 0.000], [-1.361, 0.000, 4.509]], "species": ["B", "B", "B", "B", "B", "B", "C", "C", "C", "C", "C", "C"], "fractional_positions": [[0.000, 0.000, 0.000], [0.069, 0.069, 0.657], [0.341, 0.341, 0.613], [0.501, 0.501, 0.408], [0.676, 0.676, 0.268], [0.848, 0.848, 0.133], [0.188, 0.188, 0.791], [0.219, 0.219, 0.502], [0.384, 0.384, 0.330], [0.555, 0.555, 0.140], [0.717, 0.717, 0.973], [0.886, 0.886, 0.824]]}



Number 1: energy above the lowest structure with this stoichiometry 27 meV per atom. Number 2: energy above the lowest structure with this stoichiometry 219 meV per atom. Number 3: energy above the lowest structure with this stoichiometry 158 meV per atom. Number 4: energy above the lowest structure with this stoichiometry 226 meV per atom. Number 5: energy above the lowest structure with this stoichiometry 159 meV per atom. Number 6: energy above the lowest structure with this stoichiometry 335 meV per atom. Number 7: energy above the lowest structure with this stoichiometry 52 meV per atom. Number 8: energy above the lowest structure with this stoichiometry 260 meV per atom.